No. 1
TmBi2Pb, optimized geometry, DFT GGA-PBE; energy relative to the lowest polymorph listed for this composition = 0.019 eV/atom; V = 120.0 Å³/f.u.; energy = -4.264 eV per atom; spin magnetization = 0.00 μB/f.u.; formation energy = -0.28 eV/atom
1.0
-0.277 6.037 3.192
-1.949 -5.651 3.314
4.405 -0.618 5.189
Bi Pb Tm
4 2 2
Direct
0.001 0.751 0.750 Bi
0.499 0.749 0.250 Bi
0.501 0.251 0.750 Bi
0.999 0.249 0.250 Bi
0.500 0.250 0.250 Pb
0.500 0.750 0.750 Pb
0.000 0.750 0.250 Tm
0.000 0.250 0.750 Tm

No. 2
Tm6Bi5Pb, optimized geometry, DFT GGA-PBE; V = 368.5 Å³/f.u.; energy = -4.859 eV per atom; spin magnetization = 0.00 μB/f.u.; formation energy = -0.70 eV/atom
1.0
7.526 -0.119 -1.418
-4.068 6.333 -1.418
0.154 0.277 7.684
Tm Pb Bi
6 1 5
Direct
0.412 0.082 0.247 Tm
0.918 0.588 0.753 Tm
0.588 0.918 0.753 Tm
0.082 0.412 0.247 Tm
0.247 0.247 0.751 Tm
0.753 0.753 0.249 Tm
0.000 0.000 0.000 Pb
0.334 0.666 0.000 Bi
0.500 0.500 0.500 Bi
0.169 0.831 0.500 Bi
0.831 0.169 0.500 Bi
0.666 0.334 0.000 Bi

No. 3
TmBiPb, optimized geometry, DFT GGA-PBE; energy relative to the lowest polymorph listed for this composition = 0.170 eV/atom; V = 90.4 Å³/f.u.; energy = -4.175 eV per atom; spin magnetization = 0.00 μB/f.u.; formation energy = -0.15 eV/atom
1.0
3.349 0.000 0.000
0.000 5.582 0.000
0.000 -2.791 4.834
Tm Bi Pb
1 1 1
Direct
0.334 0.333 0.667 Tm
0.835 0.000 0.000 Bi
0.831 0.667 0.333 Pb

No. 4
TmBi2Pb, optimized geometry, DFT GGA-PBE; energy relative to the lowest polymorph listed for this composition = 0.049 eV/atom; V = 134.4 Å³/f.u.; energy = -4.234 eV per atom; spin magnetization = 0.00 μB/f.u.; formation energy = -0.25 eV/atom
1.0
-2.314 -2.609 2.769
-3.352 -2.483 -1.560
3.096 -7.569 -0.963
Bi Pb Tm
2 1 1
Direct
0.256 0.256 0.231 Bi
0.744 0.744 0.769 Bi
0.500 0.500 0.500 Pb
0.000 0.000 0.000 Tm